No. 1
# Li2FeNi GGA-PBE relaxed
# calculated formation energy	0.0829	eV per atom
data_Li2FeNi
_symmetry_space_group_name_H-M 'R -3 m'
_symmetry_Int_Tables_number 166
_symmetry_space_group_name_Hall '-R 3 2"'
_cell_length_a 2.5054
_cell_length_b 2.5054
_cell_length_c 26.3316
_cell_angle_alpha 90.00
_cell_angle_beta 90.00
_cell_angle_gamma 120.00
loop_
_atom_site_label
_atom_site_fract_x
_atom_site_fract_y
_atom_site_fract_z
Li1 0.0000 0.0000 0.2461
Fe1 0.0000 0.0000 0.0000
Ni1 0.0000 0.0000 0.5000

***

No. 2
# Cs2KBiCl6 GGA-PBE relaxed
# total energy	-3.413	eV/atom
data_Cs2KBiCl6
_symmetry_space_group_name_H-M 'F m -3 m'
_symmetry_Int_Tables_number 225
_symmetry_space_group_name_Hall '-F 4 2 3'
_cell_length_a 11.4903
_cell_length_b 11.4903
_cell_length_c 11.4903
_cell_angle_alpha 90.00
_cell_angle_beta 90.00
_cell_angle_gamma 90.00
loop_
_atom_site_label
_atom_site_fract_x
_atom_site_fract_y
_atom_site_fract_z
Cs1 0.2500 0.2500 0.2500
K1 0.0000 0.0000 0.0000
Bi1 0.0000 0.0000 0.5000
Cl1 0.0000 0.0000 0.2632

***

No. 3
# WBr2Cl2 GGA-PBE relaxed
# total energy	-4.644	eV/atom
data_WBr2Cl2
_symmetry_space_group_name_H-M 'I m m m'
_symmetry_Int_Tables_number 71
_symmetry_space_group_name_Hall '-I 2 2'
_cell_length_a 6.7824
_cell_length_b 8.6064
_cell_length_c 10.3467
_cell_angle_alpha 90.00
_cell_angle_beta 90.00
_cell_angle_gamma 90.00
loop_
_atom_site_label
_atom_site_fract_x
_atom_site_fract_y
_atom_site_fract_z
W1 0.1985 0.0000 0.0000
Br1 0.0000 0.0000 0.2060
Br2 0.0000 0.5000 0.3310
Cl1 0.2324 0.2670 0.0000

***

No. 4
# MgSc2H GGA-PBE relaxed
# energy relative to the lowest polymorph listed for this composition	15.8	kJ per mole of atoms
data_MgSc2H
_symmetry_space_group_name_H-M 'R -3 m'
_symmetry_Int_Tables_number 166
_symmetry_space_group_name_Hall '-R 3 2"'
_cell_length_a 3.2203
_cell_length_b 3.2203
_cell_length_c 25.7679
_cell_angle_alpha 90.00
_cell_angle_beta 90.00
_cell_angle_gamma 120.00
loop_
_atom_site_label
_atom_site_fract_x
_atom_site_fract_y
_atom_site_fract_z
Mg1 0.0000 0.0000 0.0000
Sc1 0.0000 0.0000 0.1195
H1 0.0000 0.0000 0.5000

***

No. 5
# LiPuPb GGA-PBE relaxed
# energy relative to the lowest polymorph listed for this composition	0.0	kJ per mole of atoms
# calculated formation energy	-0.1882	eV per atom
data_LiPuPb
_symmetry_space_group_name_H-M 'P 63/m m c'
_symmetry_Int_Tables_number 194
_symmetry_space_group_name_Hall '-P 6c 2c'
_cell_length_a 5.1407
_cell_length_b 5.1407
_cell_length_c 6.1812
_cell_angle_alpha 90.00
_cell_angle_beta 90.00
_cell_angle_gamma 120.00
loop_
_atom_site_label
_atom_site_fract_x
_atom_site_fract_y
_atom_site_fract_z
Li1 0.3333 0.6667 0.2500
Pu1 0.0000 0.0000 0.0000
Pb1 0.3333 0.6667 0.7500

***

No. 6
# SrTeRh2W GGA-PBE relaxed
# total energy	-5.061	eV/atom
data_SrTeRh2W
_symmetry_space_group_name_H-M 'P 4/m m m'
_symmetry_Int_Tables_number 123
_symmetry_space_group_name_Hall '-P 4 2'
_cell_length_a 4.9129
_cell_length_b 4.9129
_cell_length_c 5.7957
_cell_angle_alpha 90.00
_cell_angle_beta 90.00
_cell_angle_gamma 90.00
loop_
_atom_site_label
_atom_site_fract_x
_atom_site_fract_y
_atom_site_fract_z
Sr1 0.0000 0.0000 0.0000
Te1 0.0000 0.0000 0.5000
Rh1 0.0000 0.5000 0.5000
W1 0.5000 0.5000 0.0000

***

No. 7
# Y5PaN6 GGA-PBE relaxed
# total energy	-9.372	eV/atom
data_Y5PaN6
_symmetry_space_group_name_H-M 'C 1 2/m 1'
_symmetry_Int_Tables_number 12
_symmetry_space_group_name_Hall '-C 2y'
_cell_length_a 6.0302
_cell_length_b 10.4393
_cell_length_c 6.0255
_cell_angle_alpha 90.00
_cell_angle_beta 109.48
_cell_angle_gamma 90.00
loop_
_atom_site_label
_atom_site_fract_x
_atom_site_fract_y
_atom_site_fract_z
Y1 0.0000 0.0000 0.0000
Y2 0.0000 0.1664 0.5000
Y3 0.0000 0.3317 0.0000
Pa1 0.0000 0.5000 0.5000
N1 0.2393 0.5000 0.2594
N2 0.2417 0.3398 0.7441

***

No. 8
# GdGa3Ni GGA-PBE relaxed
# calculated formation energy	-0.3581	eV per atom
data_GdGa3Ni
_symmetry_space_group_name_H-M 'P m -3 m'
_symmetry_Int_Tables_number 221
_symmetry_space_group_name_Hall '-P 4 2 3'
_cell_length_a 4.5813
_cell_length_b 4.5813
_cell_length_c 4.5813
_cell_angle_alpha 90.00
_cell_angle_beta 90.00
_cell_angle_gamma 90.00
loop_
_atom_site_label
_atom_site_fract_x
_atom_site_fract_y
_atom_site_fract_z
Gd1 0.0000 0.0000 0.0000
Ga1 0.0000 0.5000 0.5000
Ni1 0.5000 0.5000 0.5000